Entry 1:
{"formula": "La2ReSiMo", "functional": "PBE", "state": "relaxed", "lattice_angstrom": [[5.5108, 0.0000, 0.0000], [0.0000, 4.4891, 0.0000], [0.0000, 0.0000, 5.5108]], "species": ["Re", "Mo", "Si", "La", "La"], "fractional_positions": [[0.5000, 0.5000, 0.5000], [0.0000, 0.5000, 0.0000], [0.0000, 0.0000, 0.0000], [0.0000, 0.0000, 0.5000], [0.5000, 0.0000, 0.0000]], "raw_formation_energy_mev_per_atom": 1086, "sg": "P4/mmm, No. 123", "crystal_system": "tetragonal"}

***

Entry 2:
{"formula": "CdGe", "functional": "PBE", "state": "relaxed", "lattice_angstrom": [[-1.5731, -5.2109, 1.6321], [4.0055, -2.2555, -3.3407], [3.7112, 0.2256, 4.2974]], "species": ["Cd", "Cd", "Cd", "Cd", "Ge", "Ge", "Ge", "Ge"], "fractional_positions": [[0.5000, 0.5000, 0.5000], [0.5000, 0.0000, 0.0000], [0.0000, 0.5000, 0.0000], [0.0000, 0.0000, 0.5000], [0.0000, 0.0000, 0.0000], [0.0000, 0.5000, 0.5000], [0.5000, 0.0000, 0.5000], [0.5000, 0.5000, 0.0000]], "ef_mev_per_atom": 304, "sg": "Fm-3m, No. 225", "crystal_system": "cubic"}

***

Entry 3:
{"formula": "Y3Hg4", "functional": "PBE", "state": "relaxed", "lattice_angstrom": [[-3.9838, 0.1435, -3.1805], [-4.2015, -2.6917, 1.0528], [-5.9743, 5.9268, 3.6622]], "species": ["Y", "Y", "Y", "Hg", "Hg", "Hg", "Hg"], "fractional_positions": [[0.2441, 0.2441, 0.2676], [0.7559, 0.7559, 0.7324], [0.0000, 0.0000, 0.0000], [0.6247, 0.6247, 0.1258], [0.8738, 0.8738, 0.3786], [0.1262, 0.1262, 0.6214], [0.3753, 0.3753, 0.8742]], "ef_mev_per_atom": -354, "relative_energy_mev_per_atom": 0.0, "sg": "R-3m, No. 166", "crystal_system": "trigonal"}

***

Entry 4:
{"formula": "ErMnCdIn", "functional": "PBE", "state": "relaxed", "lattice_angstrom": [[4.9645, 0.0000, 0.0000], [2.4823, 4.2994, 0.0000], [2.4823, 1.4331, 4.0535]], "species": ["Cd", "In", "Mn", "Er"], "fractional_positions": [[0.2500, 0.2500, 0.2500], [0.7500, 0.7500, 0.7500], [0.5000, 0.5000, 0.5000], [0.0000, 0.0000, 0.0000]], "ef_mev_per_atom": -48, "sg": "F-43m, No. 216", "crystal_system": "cubic"}

***

Entry 5:
{"formula": "Dy2AsO", "functional": "PBE", "state": "relaxed", "lattice_angstrom": [[-3.6089, -0.6971, 0.9180], [-0.9380, -3.2867, 1.6342], [-0.5885, 1.1585, 6.3837]], "species": ["As", "O", "Dy", "Dy"], "fractional_positions": [[0.0000, 0.0000, 0.0000], [0.5000, 0.5000, 0.5000], [0.2386, 0.2386, 0.2842], [0.7614, 0.7614, 0.7158]], "raw_formation_energy_mev_per_atom": -2015, "relative_energy_mev_per_atom": 138.0, "sg": "R-3m, No. 166", "crystal_system": "trigonal"}

***

Entry 6:
{"formula": "Tb3TmIn", "functional": "PBE", "state": "relaxed", "lattice_angstrom": [[4.7001, 0.0000, 1.0741], [0.0000, 4.8219, 0.0000], [-0.4310, 0.0000, 12.7066]], "species": ["Tb", "Tb", "Tb", "Tb", "Tb", "Tb", "Tm", "Tm", "In", "In"], "fractional_positions": [[0.7714, 0.2500, 0.1055], [0.3751, 0.2500, 0.8982], [0.5739, 0.2500, 0.5006], [0.2733, 0.7500, 0.1018], [0.8769, 0.7500, 0.8945], [0.0745, 0.7500, 0.4994], [0.4745, 0.7500, 0.6993], [0.1738, 0.2500, 0.3007], [0.6716, 0.7500, 0.3052], [0.9768, 0.2500, 0.6948]], "ef_mev_per_atom": -190, "relative_energy_mev_per_atom": 0.0, "sg": "Cmcm, No. 63", "crystal_system": "orthorhombic"}

***

Entry 7:
{"formula": "Ho2Be4GePt3", "functional": "PBE", "state": "relaxed", "lattice_angstrom": [[3.9339, 0.0000, 0.0000], [0.0000, 3.9339, 0.0000], [0.0000, 0.0000, 9.8926]], "species": ["Ho", "Ho", "Be", "Be", "Be", "Be", "Ge", "Pt", "Pt", "Pt"], "fractional_positions": [[0.5000, 0.0000, 0.2473], [0.0000, 0.5000, 0.7527], [0.5000, 0.5000, 0.0000], [0.0000, 0.0000, 0.0000], [0.5000, 0.0000, 0.6406], [0.0000, 0.5000, 0.3594], [0.5000, 0.5000, 0.5000], [0.0000, 0.0000, 0.5000], [0.5000, 0.0000, 0.8770], [0.0000, 0.5000, 0.1230]], "ef_mev_per_atom": -766, "sg": "P-4m2, No. 115", "crystal_system": "tetragonal"}

***

Entry 8:
{"formula": "ZrTlOs4", "functional": "PBE", "state": "relaxed", "lattice_angstrom": [[-4.5370, 2.1580, 1.5994], [-1.6374, 4.5522, -2.0965], [-4.1691, 0.0676, -3.2270]], "species": ["Zr", "Tl", "Os", "Os", "Os", "Os"], "fractional_positions": [[0.0000, 0.0000, 0.0000], [0.7500, 0.7500, 0.7500], [0.8745, 0.3752, 0.3752], [0.3752, 0.3752, 0.8745], [0.3752, 0.8745, 0.3752], [0.3752, 0.3752, 0.3752]], "ef_mev_per_atom": 293, "sg": "F-43m, No. 216", "crystal_system": "cubic"}

***

Entry 9:
{"formula": "Li2Mo2N3", "functional": "PBE", "state": "relaxed", "lattice_angstrom": [[3.1857, 0.0000, -0.9194], [-0.7376, 4.4355, -2.5558], [-0.0459, 0.0911, 5.8201]], "species": ["Li", "Li", "Mo", "Mo", "N", "N", "N"], "fractional_positions": [[0.3941, 0.5780, 0.7882], [0.6059, 0.4220, 0.2118], [0.1406, 0.9227, 0.2811], [0.8594, 0.0773, 0.7189], [0.0000, 0.5000, 0.0000], [0.6882, 0.1619, 0.3764], [0.3118, 0.8381, 0.6236]], "raw_formation_energy_mev_per_atom": -437, "sg": "C2/m, No. 12", "crystal_system": "monoclinic"}

***

Entry 10:
{"formula": "SrPrSm2S4", "functional": "PBE", "state": "relaxed", "lattice_angstrom": [[-0.3849, 2.2691, -3.3483], [2.4413, -5.3794, -3.9262], [-5.4671, -4.0136, -2.0915]], "species": ["Sr", "Pr", "Sm", "Sm", "S", "S", "S", "S"], "fractional_positions": [[0.5000, 0.5000, 0.0000], [0.0000, 0.5000, 0.5000], [0.0000, 0.0000, 0.0000], [0.5000, 0.0000, 0.5000], [0.0000, 0.7612, 0.7448], [0.0000, 0.2388, 0.2552], [0.5000, 0.7592, 0.2475], [0.5000, 0.2408, 0.7525]], "raw_formation_energy_mev_per_atom": -2028, "sg": "P2/m, No. 10", "crystal_system": "monoclinic"}

***

Entry 11:
{"formula": "V3CuS6", "functional": "PBE", "state": "relaxed", "lattice_angstrom": [[-1.7071, -4.2701, 3.6066], [5.9697, -4.1016, -2.0306], [2.8536, 3.7898, 5.8376]], "species": ["V", "V", "V", "V", "V", "V", "Cu", "Cu", "S", "S", "S", "S", "S", "S", "S", "S", "S", "S", "S", "S"], "fractional_positions": [[0.4860, 0.9221, 0.7201], [0.9860, 0.7201, 0.9221], [0.3841, 0.3952, 0.6048], [0.8841, 0.6048, 0.3952], [0.9860, 0.0779, 0.2799], [0.4860, 0.2799, 0.0779], [0.0177, 0.2236, 0.7764], [0.5177, 0.7764, 0.2236], [0.1850, 0.6887, 0.6324], [0.6850, 0.6324, 0.6887], [0.2322, 0.4605, 0.9010], [0.7322, 0.9010, 0.4605], [0.1428, 0.0352, 0.9648], [0.6344, 0.2243, 0.7757], [0.1344, 0.7757, 0.2243], [0.6428, 0.9648, 0.0352], [0.2322, 0.0990, 0.5395], [0.7322, 0.5395, 0.0990], [0.1850, 0.3676, 0.3113], [0.6850, 0.3113, 0.3676]], "raw_formation_energy_mev_per_atom": -611, "sg": "Cmc2_1, No. 36", "crystal_system": "orthorhombic"}

***

Entry 12:
{"formula": "SrCaAc4", "functional": "PBE", "state": "relaxed", "lattice_angstrom": [[7.4805, 0.0000, 0.0000], [3.7403, 6.4783, 0.0000], [3.7403, 2.1594, 6.1078]], "species": ["Sr", "Ac", "Ac", "Ac", "Ac", "Ca"], "fractional_positions": [[0.2500, 0.2500, 0.2500], [0.6255, 0.6255, 0.1235], [0.6255, 0.1235, 0.6255], [0.6255, 0.6255, 0.6255], [0.1235, 0.6255, 0.6255], [0.0000, 0.0000, 0.0000]], "ef_mev_per_atom": 181, "relative_energy_mev_per_atom": 132.2, "sg": "F-43m, No. 216", "crystal_system": "cubic"}